Here is Tm2Si2O7 after structural relaxation from OQMD. Energies are from GGA-PBE.

* mass density: 6145 kg/m3
* E_tot: -8.216 eV per atom

Unit cell a=4.676 b=10.691 c=5.502 alpha=90.00 beta=96.09 gamma=90.00
Space group P2_1/c (No. 14)
Unique sites:
1 Tm 0.112 0.150 0.408 [4 per cell]
2 Si 0.359 0.614 0.646 [4 per cell]
3 O 0.119 0.684 0.457 [4 per cell]
4 O 0.204 0.551 0.871 [4 per cell]
5 O 0.380 0.205 0.745 [4 per cell]
6 O 0.500 0.000 0.000 [2 per cell]